Entry 1:
VASP calculation (GGA-PBE) on a geometry-optimized SmSiGe structure.

Output
Energy: -4.95 eV per atom
Distance to the lowest polymorph of the same formula: 0.071 eV/atom
Size of the total moment: 0.0 μB/f.u.

Cell: 4.689 4.689 4.689 Å, 60.00 60.00 60.00°
Fractional coordinates of all 3 atoms:
Sm1 0.000 0.000 0.000
Si1 0.500 0.500 0.500
Ge1 0.750 0.750 0.750

Entry 2:
VASP calculation (GGA-PBE) on a geometry-optimized SmSiGe structure.

Output
Energy: -5.03 eV per atom
Distance to the lowest polymorph of the same formula: 0.000 eV/atom
Size of the total moment: 0.0 μB/f.u.

Cell: 4.684 4.684 4.684 Å, 60.00 60.00 60.00°
Fractional coordinates of all 3 atoms:
Sm1 0.000 0.000 0.000
Si1 0.750 0.750 0.750
Ge1 0.500 0.500 0.500

> Which formula does entry 2 have?

SmSiGe